Compound: CaTbHo2Bi4
Source: Alexandria
Functional: PBE
Structure: optimized geometry

abc: 4.4726 7.8315 7.8221
angles: 70.91 90.00 90.00
Last column: nearest neighbours and their distance in Å.
Fractional positions:
Ho (0.0000, 0.0000, 0.0000)  6 Bi 3.14-3.15
Bi (0.5000, 0.2427, 0.7557)  3 Ho 3.14-3.18, 1 Tb 3.20, 2 Ca 3.23
Bi (0.0000, 0.7542, 0.7512)  3 Ho 3.15-3.18, 2 Tb 3.20, 1 Ca 3.22
Bi (0.5000, 0.7573, 0.2443)  3 Ho 3.14-3.18, 1 Tb 3.20, 2 Ca 3.23
Tb (0.5000, 0.5000, 0.0000)  6 Bi 3.20
Ca (0.0000, 0.5000, 0.5000)  6 Bi 3.22-3.23
Bi (0.0000, 0.2458, 0.2488)  3 Ho 3.15-3.18, 2 Tb 3.20, 1 Ca 3.22
Ho (0.5000, 0.0000, 0.5000)  6 Bi 3.18

* DFT total energy: -37.71 eV per cell
* energy relative to the elements: -0.800 eV per atom